<i>
The following is a GGA-PBE calculation of GaCuPb3 after structural relaxation, from the Alexandria database.

Values from the calculation:
- Spin magnetization: 0.0 Bohr magnetons per cell
- Crystal system: cubic
- Density of states at the Fermi level: 0.46 states/eV per atom

Lattice parameters (Å, degrees): 5.285 5.285 5.285 90.00 90.00 90.00
Atoms (fractional coordinates):
Pb  0.000  0.500  0.000
Pb  0.000  0.000  0.500
Pb  0.500  0.000  0.000
Cu  0.000  0.000  0.000
Ga  0.500  0.500  0.500

***

<ii>
The following is a GGA-PBE calculation of GaCuPb3 after structural relaxation, from the Alexandria database.

Values from the calculation:
- Spin magnetization: 0.0 Bohr magnetons per cell
- Crystal system: cubic
- Density of states at the Fermi level: 0.26 states/eV per atom

Lattice parameters (Å, degrees): 5.497 5.497 5.497 90.00 90.00 90.00
Atoms (fractional coordinates):
Pb  0.000  0.500  0.000
Pb  0.000  0.000  0.500
Pb  0.500  0.000  0.000
Cu  0.500  0.500  0.500
Ga  0.000  0.000  0.000

***

Computed energies relative to the best structure, in meV per atom: <i> 0; <ii> 357

***

<i>
The following is a GGA-PBE calculation of GaCu2Pb after structural relaxation, from the Alexandria database.

Values from the calculation:
- Spin magnetization: 0.0 Bohr magnetons per cell
- Crystal system: tetragonal
- Density of states at the Fermi level: 0.42 states/eV per atom

Lattice parameters (Å, degrees): 7.219 7.219 5.912 52.37 52.37 90.00
Atoms (fractional coordinates):
Pb  0.000  0.000  0.000
Pb  0.750  0.250  0.500
Cu  0.585  0.125  0.250
Cu  0.165  0.625  0.250
Cu  0.375  0.415  0.750
Cu  0.875  0.835  0.750
Ga  0.500  0.500  0.000
Ga  0.250  0.750  0.500

***

<ii>
The following is a GGA-PBE calculation of GaCu2Pb after structural relaxation, from the Alexandria database.

Values from the calculation:
- Spin magnetization: 0.0 Bohr magnetons per cell
- Crystal system: cubic
- Density of states at the Fermi level: 0.49 states/eV per atom

Lattice parameters (Å, degrees): 4.672 4.672 4.672 60.00 60.00 60.00
Atoms (fractional coordinates):
Pb  0.500  0.500  0.500
Cu  0.250  0.250  0.250
Cu  0.750  0.750  0.750
Ga  0.000  0.000  0.000

***

Computed energies relative to the best structure, in meV per atom: <i> 52; <ii> 0

***

<i>
The following is a GGA-PBE calculation of Ga8CuPd2 after structural relaxation, from the Alexandria database.

Values from the calculation:
- Spin magnetization: 0.0 Bohr magnetons per cell
- Crystal system: monoclinic
- Density of states at the Fermi level: 0.22 states/eV per atom

Lattice parameters (Å, degrees): 4.370 9.733 6.560 129.23 109.45 90.00
Atoms (fractional coordinates):
Pd  0.215  0.785  0.431
Pd  0.785  0.215  0.569
Cu  0.500  0.000  0.000
Ga  0.633  0.857  0.266
Ga  0.340  0.635  0.679
Ga  0.147  0.159  0.294
Ga  0.056  0.414  0.111
Ga  0.853  0.841  0.706
Ga  0.660  0.365  0.321
Ga  0.367  0.143  0.734
Ga  0.944  0.586  0.889

***

<ii>
The following is a GGA-PBE calculation of Ga8CuPd2 after structural relaxation, from the Alexandria database.

Values from the calculation:
- Spin magnetization: 0.0 Bohr magnetons per cell
- Crystal system: monoclinic
- Density of states at the Fermi level: 0.33 states/eV per atom

Lattice parameters (Å, degrees): 4.219 5.297 9.048 108.46 103.48 90.00
Atoms (fractional coordinates):
Ga  0.394  0.553  0.789
Ga  0.643  0.984  0.287
Ga  0.785  0.701  0.569
Ga  0.972  0.241  0.944
Ga  0.215  0.299  0.431
Ga  0.357  0.016  0.713
Ga  0.606  0.447  0.211
Ga  0.028  0.759  0.056
Cu  0.500  0.000  0.000
Pd  0.813  0.247  0.626
Pd  0.187  0.753  0.374

***

Computed energies relative to the best structure, in meV per atom: <i> 0; <ii> 19

***

<i>
The following is a GGA-PBE calculation of GaCu3Pd6 after structural relaxation, from the Alexandria database.

Values from the calculation:
- Spin magnetization: 0.0 Bohr magnetons per cell
- Crystal system: monoclinic
- Density of states at the Fermi level: 0.45 states/eV per atom

Lattice parameters (Å, degrees): 4.342 7.472 9.198 105.77 90.00 90.00
Atoms (fractional coordinates):
Ga  0.250  0.941  0.611
Ga  0.750  0.059  0.389
Cu  0.250  0.543  0.396
Cu  0.750  0.457  0.604
Cu  0.250  0.357  0.803
Cu  0.750  0.643  0.197
Cu  0.250  0.754  0.991
Cu  0.750  0.246  0.009
Pd  0.250  0.461  0.097
Pd  0.750  0.539  0.903
Pd  0.250  0.156  0.198
Pd  0.750  0.844  0.802
Pd  0.250  0.638  0.689
Pd  0.750  0.362  0.311
Pd  0.250  0.241  0.508
Pd  0.750  0.759  0.492
Pd  0.250  0.849  0.307
Pd  0.750  0.151  0.693
Pd  0.250  0.063  0.896
Pd  0.750  0.937  0.104

***

<ii>
The following is a GGA-PBE calculation of GaCu3Pd6 after structural relaxation, from the Alexandria database.

Values from the calculation:
- Spin magnetization: 0.0 Bohr magnetons per cell
- Crystal system: orthorhombic
- Density of states at the Fermi level: 0.37 states/eV per atom

Lattice parameters (Å, degrees): 4.178 9.822 9.822 131.75 90.00 90.00
Atoms (fractional coordinates):
Ga  0.098  0.232  0.768
Ga  0.598  0.768  0.232
Cu  0.599  0.900  0.805
Cu  0.099  0.805  0.900
Cu  0.099  0.407  0.593
Cu  0.599  0.593  0.407
Cu  0.099  0.100  0.195
Cu  0.599  0.195  0.100
Pd  0.099  0.730  0.605
Pd  0.599  0.605  0.730
Pd  0.098  0.586  0.961
Pd  0.598  0.961  0.586
Pd  0.599  0.902  0.098
Pd  0.598  0.307  0.693
Pd  0.098  0.693  0.307
Pd  0.099  0.098  0.902
Pd  0.098  0.039  0.414
Pd  0.598  0.414  0.039
Pd  0.099  0.395  0.270
Pd  0.599  0.270  0.395

***

Computed energies relative to the best structure, in meV per atom: <i> 0; <ii> 116

***

<i>
The following is a GGA-PBE calculation of Ga2CuPd2 after structural relaxation, from the Alexandria database.

Values from the calculation:
- Spin magnetization: 0.0 Bohr magnetons per cell
- Crystal system: tetragonal
- Density of states at the Fermi level: 0.38 states/eV per atom

Lattice parameters (Å, degrees): 7.185 7.185 2.977 90.00 90.00 90.00
Atoms (fractional coordinates):
Cu  0.000  0.000  0.000
Cu  0.500  0.500  0.000
Ga  0.157  0.657  0.500
Ga  0.657  0.843  0.500
Ga  0.843  0.343  0.500
Ga  0.343  0.157  0.500
Pd  0.356  0.856  0.000
Pd  0.856  0.644  0.000
Pd  0.644  0.144  0.000
Pd  0.144  0.356  0.000

***

<ii>
The following is a GGA-PBE calculation of Ga2CuPd2 after structural relaxation, from the Alexandria database.

Values from the calculation:
- Spin magnetization: 0.0 Bohr magnetons per cell
- Crystal system: tetragonal
- Density of states at the Fermi level: 0.30 states/eV per atom

Lattice parameters (Å, degrees): 6.997 6.997 3.097 90.00 90.00 90.00
Atoms (fractional coordinates):
Cu  0.000  0.000  0.000
Cu  0.500  0.500  0.000
Ga  0.355  0.855  0.000
Ga  0.855  0.645  0.000
Ga  0.645  0.145  0.000
Ga  0.145  0.355  0.000
Pd  0.154  0.654  0.500
Pd  0.654  0.846  0.500
Pd  0.846  0.346  0.500
Pd  0.346  0.154  0.500

***

<iii>
The following is a GGA-PBE calculation of Ga2CuPd2 after structural relaxation, from the Alexandria database.

Values from the calculation:
- Spin magnetization: 0.0 Bohr magnetons per cell
- Crystal system: orthorhombic
- Density of states at the Fermi level: 0.28 states/eV per atom

Lattice parameters (Å, degrees): 4.158 5.108 7.348 90.00 106.43 90.00
Atoms (fractional coordinates):
Ga  0.443  0.529  0.886
Ga  0.776  0.865  0.552
Ga  0.224  0.365  0.448
Ga  0.557  0.029  0.114
Cu  0.360  0.037  0.721
Cu  0.640  0.537  0.279
Pd  0.957  0.840  0.914
Pd  0.838  0.364  0.676
Pd  0.162  0.864  0.324
Pd  0.043  0.340  0.086

***

<iv>
The following is a GGA-PBE calculation of Ga2CuPd2 after structural relaxation, from the Alexandria database.

Values from the calculation:
- Spin magnetization: 0.0 Bohr magnetons per cell
- Crystal system: tetragonal
- Density of states at the Fermi level: 0.35 states/eV per atom

Lattice parameters (Å, degrees): 3.674 3.674 6.642 73.94 73.94 90.00
Atoms (fractional coordinates):
Cu  0.000  0.000  0.000
Ga  0.750  0.250  0.500
Ga  0.250  0.750  0.500
Pd  0.393  0.393  0.213
Pd  0.607  0.607  0.787

***

Computed energies relative to the best structure, in meV per atom: <i> 66; <ii> 49; <iii> 0; <iv> 277

***

<i>
The following is a GGA-PBE calculation of Ga3CuPd after structural relaxation, from the Alexandria database.

Values from the calculation:
- Spin magnetization: 0.0 Bohr magnetons per cell
- Crystal system: orthorhombic
- Density of states at the Fermi level: 0.36 states/eV per atom

Lattice parameters (Å, degrees): 4.131 5.329 7.392 90.02 90.01 89.96
Atoms (fractional coordinates):
Ga  0.250  0.751  0.562
Ga  0.250  0.270  0.750
Ga  0.250  0.751  0.938
Ga  0.750  0.249  0.438
Ga  0.750  0.249  0.062
Ga  0.750  0.730  0.250
Cu  0.750  0.516  0.750
Cu  0.250  0.484  0.250
Pd  0.250  0.003  0.250
Pd  0.750  0.997  0.750

***

<ii>
The following is a GGA-PBE calculation of Ga3CuPd after structural relaxation, from the Alexandria database.

Values from the calculation:
- Spin magnetization: 0.0 Bohr magnetons per cell
- Crystal system: monoclinic
- Density of states at the Fermi level: 0.29 states/eV per atom

Lattice parameters (Å, degrees): 4.563 8.917 8.917 81.06 75.37 75.37
Atoms (fractional coordinates):
Ga  0.509  0.772  0.932
Ga  0.991  0.068  0.228
Ga  0.491  0.228  0.068
Ga  0.009  0.932  0.772
Ga  0.950  0.360  0.952
Ga  0.550  0.048  0.640
Ga  0.050  0.640  0.048
Ga  0.450  0.952  0.360
Ga  0.607  0.480  0.726
Ga  0.893  0.274  0.520
Ga  0.393  0.520  0.274
Ga  0.107  0.726  0.480
Cu  0.250  0.069  0.931
Cu  0.750  0.931  0.069
Cu  0.250  0.315  0.685
Cu  0.750  0.685  0.315
Pd  0.023  0.611  0.769
Pd  0.477  0.231  0.389
Pd  0.977  0.389  0.231
Pd  0.523  0.769  0.611

***

<iii>
The following is a GGA-PBE calculation of Ga3CuPd after structural relaxation, from the Alexandria database.

Values from the calculation:
- Spin magnetization: 0.0 Bohr magnetons per cell
- Crystal system: cubic
- Density of states at the Fermi level: 0.34 states/eV per atom

Lattice parameters (Å, degrees): 4.816 4.816 4.816 90.00 90.00 90.00
Atoms (fractional coordinates):
Cu  0.500  0.500  0.500
Ga  0.000  0.500  0.000
Ga  0.000  0.000  0.500
Ga  0.500  0.000  0.000
Pd  0.000  0.000  0.000

***

Computed energies relative to the best structure, in meV per atom: <i> 7; <ii> 0; <iii> 413

***

<i>
The following is a GGA-PBE calculation of GaCu2Pd4 after structural relaxation, from the Alexandria database.

Values from the calculation:
- Spin magnetization: 0.0 Bohr magnetons per cell
- Crystal system: triclinic
- Density of states at the Fermi level: 0.42 states/eV per atom

Lattice parameters (Å, degrees): 5.413 6.358 7.654 108.85 115.83 103.49
Atoms (fractional coordinates):
Ga  0.223  0.713  0.535
Ga  0.051  0.847  0.972
Cu  0.498  0.407  0.688
Cu  0.889  0.979  0.388
Cu  0.608  0.263  0.242
Cu  0.986  0.396  0.660
Pd  0.119  0.279  0.274
Pd  0.325  0.550  0.102
Pd  0.724  0.682  0.547
Pd  0.781  0.130  0.824
Pd  0.409  0.994  0.390
Pd  0.267  0.121  0.810
Pd  0.532  0.827  0.949
Pd  0.837  0.563  0.119

***

<ii>
The following is a GGA-PBE calculation of GaCu2Pd4 after structural relaxation, from the Alexandria database.

Values from the calculation:
- Spin magnetization: 0.0 Bohr magnetons per cell
- Crystal system: tetragonal
- Density of states at the Fermi level: 0.83 states/eV per atom

Lattice parameters (Å, degrees): 5.184 5.184 5.184 111.20 108.62 108.62
Atoms (fractional coordinates):
Pd  0.500  0.000  0.000
Pd  0.500  0.500  0.500
Pd  0.000  0.000  0.500
Pd  0.000  0.500  0.000
Cu  0.500  0.500  0.000
Cu  0.500  0.000  0.500
Ga  0.000  0.000  0.000

***

<iii>
The following is a GGA-PBE calculation of GaCu2Pd4 after structural relaxation, from the Alexandria database.

Values from the calculation:
- Spin magnetization: 0.0 Bohr magnetons per cell
- Crystal system: tetragonal
- Density of states at the Fermi level: 0.35 states/eV per atom

Lattice parameters (Å, degrees): 4.630 4.630 6.944 70.53 70.53 90.00
Atoms (fractional coordinates):
Cu  0.398  0.398  0.205
Cu  0.602  0.602  0.795
Ga  0.000  0.000  0.000
Pd  0.194  0.194  0.611
Pd  0.806  0.806  0.389
Pd  0.000  0.500  0.000
Pd  0.500  0.000  0.000

***

Computed energies relative to the best structure, in meV per atom: <i> 0; <ii> 60; <iii> 638

***

<i>
The following is a GGA-PBE calculation of Ga2Cu2Pd after structural relaxation, from the Alexandria database.

Values from the calculation:
- Spin magnetization: 0.0 Bohr magnetons per cell
- Crystal system: tetragonal
- Density of states at the Fermi level: 0.27 states/eV per atom

Lattice parameters (Å, degrees): 7.041 7.041 2.853 90.00 90.00 90.00
Atoms (fractional coordinates):
Cu  0.375  0.875  0.000
Cu  0.875  0.625  0.000
Cu  0.625  0.125  0.000
Cu  0.125  0.375  0.000
Ga  0.175  0.675  0.500
Ga  0.675  0.825  0.500
Ga  0.825  0.325  0.500
Ga  0.325  0.175  0.500
Pd  0.000  0.000  0.000
Pd  0.500  0.500  0.000

***

<ii>
The following is a GGA-PBE calculation of Ga2Cu2Pd after structural relaxation, from the Alexandria database.

Values from the calculation:
- Spin magnetization: 0.0 Bohr magnetons per cell
- Crystal system: tetragonal
- Density of states at the Fermi level: 0.34 states/eV per atom

Lattice parameters (Å, degrees): 3.669 3.669 6.250 72.93 72.93 90.00
Atoms (fractional coordinates):
Cu  0.398  0.398  0.203
Cu  0.602  0.602  0.797
Ga  0.750  0.250  0.500
Ga  0.250  0.750  0.500
Pd  0.000  0.000  0.000

***

Computed energies relative to the best structure, in meV per atom: <i> 0; <ii> 202

***

<i>
The following is a GGA-PBE calculation of Ga2Cu2Pd after structural relaxation, from the Alexandria database.

Values from the calculation:
- Spin magnetization: 0.0 Bohr magnetons per cell
- Crystal system: tetragonal
- Density of states at the Fermi level: 0.15 states/eV per atom

Lattice parameters (Å, degrees): 6.925 6.925 2.975 90.00 90.00 90.00
Atoms (fractional coordinates):
Cu  0.141  0.641  0.500
Cu  0.641  0.859  0.500
Cu  0.859  0.359  0.500
Cu  0.359  0.141  0.500
Ga  0.344  0.844  0.000
Ga  0.844  0.656  0.000
Ga  0.656  0.156  0.000
Ga  0.156  0.344  0.000
Pd  0.000  0.000  0.000
Pd  0.500  0.500  0.000

***

<ii>
The following is a GGA-PBE calculation of Ga2Cu2Pd after structural relaxation, from the Alexandria database.

Values from the calculation:
- Spin magnetization: 0.0 Bohr magnetons per cell
- Crystal system: tetragonal
- Density of states at the Fermi level: 0.30 states/eV per atom

Lattice parameters (Å, degrees): 3.371 3.371 6.989 76.04 76.04 90.00
Atoms (fractional coordinates):
Cu  0.750  0.250  0.500
Cu  0.250  0.750  0.500
Ga  0.398  0.398  0.203
Ga  0.602  0.602  0.797
Pd  0.000  0.000  0.000

***

Computed energies relative to the best structure, in meV per atom: <i> 0; <ii> 47